No. 1
# La3FeI2, optimized geometry, DFT PBE-GGA
# Energy relative to the elements, uncorrected = -696 meV per atom
# Magnetization = 0.00 μB per atom
data_La3FeI2
_symmetry_space_group_name_H-M 'C 1 2/m 1'
_symmetry_Int_Tables_number 12
_cell_length_a 7.619
_cell_length_b 12.881
_cell_length_c 8.544
_cell_angle_alpha 90.00
_cell_angle_beta 108.68
_cell_angle_gamma 90.00
loop_
_symmetry_equiv_pos_as_xyz
'x,y,z'
'-x,-y,-z'
'-x,y,-z'
'x,-y,z'
'x+1/2,y+1/2,z'
'-x+1/2,-y+1/2,-z'
'-x+1/2,y+1/2,-z'
'x+1/2,-y+1/2,z'
loop_
_atom_site_label
_atom_site_type_symbol
_atom_site_fract_x
_atom_site_fract_y
_atom_site_fract_z
La1 La 0.179 0.000 0.187
La2 La 0.235 0.303 0.191
Fe1 Fe 0.000 0.167 0.000
I1 I 0.000 0.000 0.500
I2 I 0.000 0.345 0.500
I3 I 0.000 0.500 0.000


No. 2
# La5FeI5, optimized geometry, DFT PBE-GGA
# Energy relative to the elements, uncorrected = -975 meV per atom
# Magnetization = 0.00 μB per atom
data_La5FeI5
_symmetry_space_group_name_H-M 'C 1 2/m 1'
_symmetry_Int_Tables_number 12
_cell_length_a 14.055
_cell_length_b 6.387
_cell_length_c 9.335
_cell_angle_alpha 90.00
_cell_angle_beta 110.45
_cell_angle_gamma 90.00
loop_
_symmetry_equiv_pos_as_xyz
'x,y,z'
'-x,-y,-z'
'-x,y,-z'
'x,-y,z'
'x+1/2,y+1/2,z'
'-x+1/2,-y+1/2,-z'
'-x+1/2,y+1/2,-z'
'x+1/2,-y+1/2,z'
loop_
_atom_site_label
_atom_site_type_symbol
_atom_site_fract_x
_atom_site_fract_y
_atom_site_fract_z
La1 La 0.000 0.000 0.000
La2 La 0.127 0.500 0.253
La3 La 0.164 0.500 0.871
Fe1 Fe 0.000 0.500 0.000
I1 I 0.000 0.500 0.500
I2 I 0.148 0.000 0.789
I3 I 0.179 0.000 0.351


No. 3
# La3Fe3I, optimized geometry, DFT PBE-GGA
# Energy relative to the elements, uncorrected = -245 meV per atom
# Magnetization = 0.66 μB per atom
data_La3Fe3I
_symmetry_space_group_name_H-M 'P 63/m'
_symmetry_Int_Tables_number 176
_symmetry_space_group_name_Hall '-P 6c'
_cell_length_a 10.1109
_cell_length_b 10.1109
_cell_length_c 4.0812
_cell_angle_alpha 90.00
_cell_angle_beta 90.00
_cell_angle_gamma 120.00
loop_
_atom_site_label
_atom_site_type_symbol
_atom_site_fract_x
_atom_site_fract_y
_atom_site_fract_z
La1 La 0.0626 0.6885 0.2500
Fe1 Fe 0.0099 0.8662 0.7500
I1 I 0.3333 0.6667 0.7500


No. 4
# LaFeIN2, optimized geometry, DFT PBE-GGA
# Energy relative to the elements, uncorrected = 543 meV per atom
# Magnetization = 0.06 μB per atom
data_LaFeIN2
_symmetry_space_group_name_H-M 'P 4/m m m'
_symmetry_Int_Tables_number 123
_symmetry_space_group_name_Hall '-P 4 2'
_cell_length_a 4.155
_cell_length_b 4.155
_cell_length_c 4.880
_cell_angle_alpha 90.00
_cell_angle_beta 90.00
_cell_angle_gamma 90.00
loop_
_atom_site_label
_atom_site_type_symbol
_atom_site_fract_x
_atom_site_fract_y
_atom_site_fract_z
La1 La 0.000 0.000 0.000
Fe1 Fe 0.500 0.500 0.500
I1 I 0.500 0.500 0.000
N1 N 0.000 0.500 0.500